(1)
A plane-wave DFT calculation with PBE-GGA was carried out for a geometry-optimized Er4Tm5Hg structure.

As for the magnetic moment: 0.0 μB per formula unit. The calculated volume comes out at 29.3 Å³ per atom. The total energy comes out at -41.7 eV per cell. The formation enthalpy at 0 K comes out at -0.7 eV/f.u.

The space group is P4/mmm (No. 123) and the conventional cell measures 3.507, 3.507 and 23.803 Å, with angles of 90.00, 90.00 and 90.00 degrees. Symmetry generates all atoms from Er at (0.000, 0.000, 0.104), Er at (0.000, 0.000, 0.311), Tm at (0.500, 0.500, 0.000), Tm at (0.500, 0.500, 0.208), Tm at (0.500, 0.500, 0.416) and Hg at (0.000, 0.000, 0.500).

(2)
A plane-wave DFT calculation with PBE-GGA was carried out for a geometry-optimized ErTmHg structure.

As for the magnetic moment: 0.0 μB per formula unit. The calculated volume comes out at 27.2 Å³ per atom. The total energy comes out at -9.9 eV per cell. The formation enthalpy at 0 K comes out at -0.5 eV/f.u. The energy above the most stable polymorph in this dataset comes out at 0.1868 eV per atom.

The space group is P3m1 (No. 156) and the conventional cell measures 5.0979, 5.0979 and 3.6285 Å, with angles of 90.00, 90.00 and 120.00 degrees. Symmetry generates all atoms from Er at (0.0000, 0.0000, 0.0000), Tm at (0.3333, 0.6667, 0.5290) and Hg at (0.6667, 0.3333, 0.2855).

(3)
A plane-wave DFT calculation with PBE-GGA was carried out for a geometry-optimized Er6Tm2Hg structure.

As for the magnetic moment: 0.0 μB per formula unit. The calculated volume comes out at 30.7 Å³ per atom. The total energy comes out at -71.7 eV per cell. The formation enthalpy at 0 K comes out at 0.8 eV/f.u.

The space group is C2/m (No. 12) and the conventional cell measures 17.356, 9.362 and 3.470 Å, with angles of 90.00, 101.36 and 90.00 degrees. Symmetry generates all atoms from Er at (0.000, 0.212, 0.000), Er at (0.166, 0.317, 0.660), Tm at (0.161, 0.000, 0.144) and Hg at (0.000, 0.500, 0.500).

(4)
A plane-wave DFT calculation with PBE-GGA was carried out for a geometry-optimized Er2TmHg9 structure.

As for the magnetic moment: 0.0 μB per formula unit. The calculated volume comes out at 24.0 Å³ per atom. The total energy comes out at -19.8 eV per cell. The formation enthalpy at 0 K comes out at -3.5 eV/f.u.

The space group is P4/mmm (No. 123) and the conventional cell measures 4.692, 4.692 and 13.105 Å, with angles of 90.00, 90.00 and 90.00 degrees. Symmetry generates all atoms from Er at (0.000, 0.000, 0.167), Tm at (0.000, 0.000, 0.500), Hg at (0.000, 0.500, 0.000), Hg at (0.000, 0.500, 0.334), Hg at (0.500, 0.500, 0.167) and Hg at (0.500, 0.500, 0.500).

(5)
A plane-wave DFT calculation with PBE-GGA was carried out for a geometry-optimized ErTmHg2 structure.

As for the magnetic moment: 0.0 μB per formula unit. The calculated volume comes out at 25.0 Å³ per atom. The total energy comes out at -11.6 eV per cell. The formation enthalpy at 0 K comes out at -1.9 eV/f.u. The energy above the most stable polymorph in this dataset comes out at 0.0000 eV per atom.

The space group is P4/mmm (No. 123) and the conventional cell measures 5.185, 5.185 and 3.716 Å, with angles of 90.00, 90.00 and 90.00 degrees. Symmetry generates all atoms from Er at (0.000, 0.000, 0.000), Tm at (0.500, 0.500, 0.000) and Hg at (0.000, 0.500, 0.500).

(6)
A plane-wave DFT calculation with PBE-GGA was carried out for a geometry-optimized ErTmHg2 structure.

As for the magnetic moment: 0.0 μB per formula unit. The calculated volume comes out at 25.0 Å³ per atom. The total energy comes out at -46.2 eV per cell. The formation enthalpy at 0 K comes out at -1.9 eV/f.u. The energy above the most stable polymorph in this dataset comes out at 0.0023 eV per atom.

The space group is Fm-3m (No. 225) and the conventional cell measures 7.365, 7.365 and 7.365 Å, with angles of 90.00, 90.00 and 90.00 degrees. Symmetry generates all atoms from Er at (0.000, 0.000, 0.000), Tm at (0.000, 0.000, 0.500) and Hg at (0.250, 0.250, 0.250).

(7)
A plane-wave DFT calculation with PBE-GGA was carried out for a geometry-optimized ErTmHg4 structure.

As for the magnetic moment: 0.0 μB per formula unit. The calculated volume comes out at 24.2 Å³ per atom. The total energy comes out at -24.9 eV per cell. The formation enthalpy at 0 K comes out at -2.2 eV/f.u. The energy above the most stable polymorph in this dataset comes out at 0.0000 eV per atom.

The space group is Amm2 (No. 38) and the conventional cell measures 5.164, 3.882 and 14.489 Å, with angles of 90.00, 90.00 and 90.00 degrees. Symmetry generates all atoms from Er at (0.000, 0.000, 0.000), Tm at (0.500, 0.000, 0.207), Hg at (0.000, 0.000, 0.334), Hg at (0.000, 0.000, 0.668), Hg at (0.500, 0.000, 0.539) and Hg at (0.500, 0.000, 0.872).

(8)
A plane-wave DFT calculation with PBE-GGA was carried out for a geometry-optimized Er3TmHg2 structure.

As for the magnetic moment: 0.0 μB per formula unit. The calculated volume comes out at 26.9 Å³ per atom. The total energy comes out at -41.9 eV per cell. The formation enthalpy at 0 K comes out at -2.2 eV/f.u.

The space group is Pmc2_1 (No. 26) and the conventional cell measures 5.073, 9.138 and 6.951 Å, with angles of 90.00, 90.00 and 90.00 degrees. Symmetry generates all atoms from Er at (0.000, 0.053, 0.000), Er at (0.000, 0.326, 0.344), Er at (0.500, 0.175, 0.687), Tm at (0.500, 0.447, 0.031), Hg at (0.000, 0.350, 0.780) and Hg at (0.500, 0.150, 0.251).